Entry from the Alexandria database: YFe2ReF after structural relaxation (GGA+U).

a = 4.9382 Å, b = 4.9382 Å, c = 4.1166 Å
α = 90.00°, β = 90.00°, γ = 90.00°
Space group P4/mmm (No. 123)
Unique sites:
Y 0.0000 0.0000 0.0000 (multiplicity 1)
Fe 0.0000 0.5000 0.5000 (multiplicity 2)
Re 0.5000 0.5000 0.5000 (multiplicity 1)
F 0.5000 0.5000 0.0000 (multiplicity 1)

Computed properties:
DOS at the Fermi energy (states/eV/f.u.): 4.02
E (eV per cell): -29.359